## Mg2ScTaF (PBE-GGA)

Data for Mg2ScTaF after structural relaxation.

Results
ΔE_f (raw) = -0.547 eV/atom
V = 17.6 Å³/atom

a = 4.3798 Å, b = 4.3798 Å, c = 4.5850 Å
α = 90.00°, β = 90.00°, γ = 90.00°
Fractional coordinates of all 5 atoms:
Mg 0.0000 0.5000 0.0000
Mg 0.5000 0.0000 0.0000
Sc 0.0000 0.0000 0.5000
Ta 0.5000 0.5000 0.5000
F 0.0000 0.0000 0.0000

***

## In2Ga4Sn5 (PBE-GGA)

Data for In2Ga4Sn5 after structural relaxation.

Results
energy relative to the elements = 7.9 kJ/mol of atoms
energy relative to the lowest polymorph listed for this composition = 0 meV/atom
V = 26.2 Å³/atom

a = 9.3889 Å, b = 9.3889 Å, c = 7.3953 Å
α = 92.20°, β = 92.20°, γ = 26.29°
Fractional coordinates of all 11 atoms:
In 0.0935 0.0935 0.4632
In 0.9065 0.9065 0.5368
Ga 0.4103 0.4103 0.8344
Ga 0.4491 0.4491 0.2781
Ga 0.5509 0.5509 0.7219
Ga 0.5897 0.5897 0.1656
Sn 0.0000 0.0000 0.0000
Sn 0.2664 0.2664 0.6550
Sn 0.3023 0.3023 0.1062
Sn 0.6977 0.6977 0.8938
Sn 0.7336 0.7336 0.3450

***

## K2TeAsS (PBE-GGA)

Data for K2TeAsS after structural relaxation.

Results
ΔE_f (raw) = -0.017 eV/atom
V = 46.2 Å³/atom

a = 6.6090 Å, b = 6.6090 Å, c = 5.2851 Å
α = 90.00°, β = 90.00°, γ = 90.00°
Fractional coordinates of all 5 atoms:
K 0.0000 0.5000 0.0000
K 0.5000 0.0000 0.0000
Te 0.0000 0.0000 0.0000
As 0.0000 0.0000 0.5000
S 0.5000 0.5000 0.5000